1.
Here is an optimized crystal structure of Ba2LaMg from the Alexandria database. Energies are from PBE.

Structure (CIF):
```
data_Ba2LaMg
_space_group_name_H-M_alt 'C m m m'
_space_group_IT_number 65
_space_group_name_Hall '-C 2 2'
_cell_length_a 7.944
_cell_length_b 10.842
_cell_length_c 4.041
_cell_angle_alpha 90.00
_cell_angle_beta 90.00
_cell_angle_gamma 90.00
loop_
_atom_site_label
_atom_site_fract_x
_atom_site_fract_y
_atom_site_fract_z
_atom_site_occupancy
Ba1 0.250 0.250 0.000 1
La1 0.000 0.000 0.500 1
Mg1 0.000 0.500 0.500 1
```

Calculated values
- Calculated formation energy: 0.14 eV/atom
- Total moment: 0.01 Bohr magnetons per cell
- Calculated total energy: -2.449 eV per atom

2.
Here is an optimized crystal structure of Ba2La2Mg from the Alexandria database. Energies are from PBE.

Structure (CIF):
```
data_Ba2La2Mg
_space_group_name_H-M_alt 'P 4/m b m'
_space_group_IT_number 127
_space_group_name_Hall '-P 4 2ab'
_cell_length_a 8.396
_cell_length_b 8.396
_cell_length_c 6.271
_cell_angle_alpha 90.00
_cell_angle_beta 90.00
_cell_angle_gamma 90.00
loop_
_atom_site_label
_atom_site_fract_x
_atom_site_fract_y
_atom_site_fract_z
_atom_site_occupancy
Ba1 0.176 0.324 0.000 1
La1 0.125 0.625 0.500 1
Mg1 0.000 0.000 0.500 1
```

Calculated values
- Calculated formation energy: 0.22 eV/atom
- Total moment: 0.00 Bohr magnetons per cell
- Calculated total energy: -2.842 eV per atom

3.
Here is an optimized crystal structure of BaLaMg3 from the Alexandria database. Energies are from PBE.

Structure (CIF):
```
data_BaLaMg3
_space_group_name_H-M_alt 'P m -3 m'
_space_group_IT_number 221
_space_group_name_Hall '-P 4 2 3'
_cell_length_a 6.018
_cell_length_b 6.018
_cell_length_c 6.018
_cell_angle_alpha 90.00
_cell_angle_beta 90.00
_cell_angle_gamma 90.00
loop_
_atom_site_label
_atom_site_fract_x
_atom_site_fract_y
_atom_site_fract_z
_atom_site_occupancy
Ba1 0.000 0.000 0.000 1
La1 0.500 0.500 0.500 1
Mg1 0.000 0.500 0.500 1
```

Calculated values
- Calculated formation energy: 0.54 eV/atom
- Total moment: 0.33 Bohr magnetons per cell
- Calculated total energy: -1.787 eV per atom

4.
Here is an optimized crystal structure of BaLa2Mg2 from the Alexandria database. Energies are from PBE.

Structure (CIF):
```
data_BaLa2Mg2
_space_group_name_H-M_alt 'P 4/m b m'
_space_group_IT_number 127
_space_group_name_Hall '-P 4 2ab'
_cell_length_a 9.772
_cell_length_b 9.772
_cell_length_c 3.761
_cell_angle_alpha 90.00
_cell_angle_beta 90.00
_cell_angle_gamma 90.00
loop_
_atom_site_label
_atom_site_fract_x
_atom_site_fract_y
_atom_site_fract_z
_atom_site_occupancy
Ba1 0.000 0.000 0.000 1
La1 0.113 0.387 0.000 1
Mg1 0.177 0.677 0.500 1
```

Calculated values
- Calculated formation energy: 0.01 eV/atom
- Energy relative to the lowest polymorph listed for this composition: 0 meV/atom
- Total moment: 0.00 Bohr magnetons per cell
- Calculated total energy: -2.982 eV per atom

5.
Here is an optimized crystal structure of BaLaMg14 from the Alexandria database. Energies are from PBE.

Structure (CIF):
```
data_BaLaMg14
_space_group_name_H-M_alt 'A m m 2'
_space_group_IT_number 38
_cell_length_a 10.685
_cell_length_b 7.103
_cell_length_c 11.033
_cell_angle_alpha 90.00
_cell_angle_beta 90.00
_cell_angle_gamma 90.00
loop_
_space_group_symop_operation_xyz
'x,y,z'
'-x,-y,z'
'-x,y,z'
'x,-y,z'
'x,y+1/2,z+1/2'
'-x,-y+1/2,z+1/2'
'-x,y+1/2,z+1/2'
'x,-y+1/2,z+1/2'
loop_
_atom_site_label
_atom_site_fract_x
_atom_site_fract_y
_atom_site_fract_z
_atom_site_occupancy
Ba1 0.000 0.000 0.000 1
La1 0.000 0.000 0.494 1
Mg1 0.000 0.245 0.748 1
Mg2 0.248 0.000 0.246 1
Mg3 0.251 0.000 0.735 1
Mg4 0.278 0.248 0.489 1
Mg5 0.500 0.000 0.416 1
Mg6 0.500 0.000 0.910 1
Mg7 0.500 0.244 0.174 1
```

Calculated values
- Calculated formation energy: 0.05 eV/atom
- Energy relative to the lowest polymorph listed for this composition: 7 meV/atom
- Total moment: 0.00 Bohr magnetons per cell
- Calculated total energy: -1.769 eV per atom

6.
Here is an optimized crystal structure of Ba2LaMg from the Alexandria database. Energies are from PBE.

Structure (CIF):
```
data_Ba2LaMg
_space_group_name_H-M_alt 'P 1 m 1'
_space_group_IT_number 6
_cell_length_a 4.115
_cell_length_b 5.945
_cell_length_c 7.547
_cell_angle_alpha 90.00
_cell_angle_beta 105.45
_cell_angle_gamma 90.00
loop_
_space_group_symop_operation_xyz
'x,y,z'
'x,-y,z'
loop_
_atom_site_label
_atom_site_fract_x
_atom_site_fract_y
_atom_site_fract_z
_atom_site_occupancy
Ba1 0.000 0.000 0.000 1
Ba2 0.313 0.500 0.645 1
La1 0.607 0.500 0.203 1
Mg1 0.706 0.000 0.442 1
```

Calculated values
- Calculated formation energy: 0.12 eV/atom
- Total moment: 0.01 Bohr magnetons per cell
- Calculated total energy: -2.468 eV per atom

7.
Here is an optimized crystal structure of BaLa2Mg from the Alexandria database. Energies are from PBE.

Structure (CIF):
```
data_BaLa2Mg
_space_group_name_H-M_alt 'P 4 m m'
_space_group_IT_number 99
_cell_length_a 3.946
_cell_length_b 3.946
_cell_length_c 10.037
_cell_angle_alpha 90.00
_cell_angle_beta 90.00
_cell_angle_gamma 90.00
loop_
_space_group_symop_operation_xyz
'x,y,z'
'-y,x,z'
'-x,-y,z'
'y,-x,z'
'-x,y,z'
'y,x,z'
'x,-y,z'
'-y,-x,z'
loop_
_atom_site_label
_atom_site_fract_x
_atom_site_fract_y
_atom_site_fract_z
_atom_site_occupancy
Ba1 0.000 0.000 0.000 1
La1 0.000 0.000 0.549 1
La2 0.500 0.500 0.316 1
Mg1 0.500 0.500 0.751 1
```

Calculated values
- Calculated formation energy: 0.02 eV/atom
- Total moment: 0.00 Bohr magnetons per cell
- Calculated total energy: -3.322 eV per atom

8.
Here is an optimized crystal structure of Ba2LaMg from the Alexandria database. Energies are from PBE.

Structure (CIF):
```
data_Ba2LaMg
_space_group_name_H-M_alt 'P 4/m m m'
_space_group_IT_number 123
_space_group_name_Hall '-P 4 2'
_cell_length_a 4.071
_cell_length_b 4.071
_cell_length_c 10.712
_cell_angle_alpha 90.00
_cell_angle_beta 90.00
_cell_angle_gamma 90.00
loop_
_atom_site_label
_atom_site_fract_x
_atom_site_fract_y
_atom_site_fract_z
_atom_site_occupancy
Ba1 0.000 0.000 0.222 1
La1 0.500 0.500 0.500 1
Mg1 0.500 0.500 0.000 1
```

Calculated values
- Calculated formation energy: 0.11 eV/atom
- Total moment: 0.01 Bohr magnetons per cell
- Calculated total energy: -2.477 eV per atom

9.
Here is an optimized crystal structure of Ba2LaMg from the Alexandria database. Energies are from PBE.

Structure (CIF):
```
data_Ba2LaMg
_space_group_name_H-M_alt 'P 4 m m'
_space_group_IT_number 99
_cell_length_a 4.215
_cell_length_b 4.215
_cell_length_c 10.222
_cell_angle_alpha 90.00
_cell_angle_beta 90.00
_cell_angle_gamma 90.00
loop_
_space_group_symop_operation_xyz
'x,y,z'
'-y,x,z'
'-x,-y,z'
'y,-x,z'
'-x,y,z'
'y,x,z'
'x,-y,z'
'-y,-x,z'
loop_
_atom_site_label
_atom_site_fract_x
_atom_site_fract_y
_atom_site_fract_z
_atom_site_occupancy
Ba1 0.000 0.000 0.000 1
Ba2 0.500 0.500 0.343 1
La1 0.000 0.000 0.616 1
Mg1 0.500 0.500 0.778 1
```

Calculated values
- Calculated formation energy: 0.03 eV/atom
- Total moment: 0.00 Bohr magnetons per cell
- Calculated total energy: -2.566 eV per atom

10.
Here is an optimized crystal structure of BaLa2Mg from the Alexandria database. Energies are from PBE.

Structure (CIF):
```
data_BaLa2Mg
_space_group_name_H-M_alt 'I 4/m m m'
_space_group_IT_number 139
_space_group_name_Hall '-I 4 2'
_cell_length_a 5.222
_cell_length_b 5.222
_cell_length_c 10.820
_cell_angle_alpha 90.00
_cell_angle_beta 90.00
_cell_angle_gamma 90.00
loop_
_atom_site_label
_atom_site_fract_x
_atom_site_fract_y
_atom_site_fract_z
_atom_site_occupancy
Ba1 0.000 0.000 0.000 1
La1 0.000 0.500 0.250 1
Mg1 0.000 0.000 0.500 1
```

Calculated values
- Calculated formation energy: 0.13 eV/atom
- Total moment: 0.00 Bohr magnetons per cell
- Calculated total energy: -3.215 eV per atom